TaZn2As: relaxed, PBE-GGA.

Computed properties:
Space group: P4/mmm

The structure in CIF format:
```
data_TaZn2As
_symmetry_space_group_name_H-M 'P 1'
_symmetry_Int_Tables_number 1
_symmetry_space_group_name_Hall 'P 1'
_cell_length_a 3.7684
_cell_length_b 3.7684
_cell_length_c 4.5349
_cell_angle_alpha 90.00
_cell_angle_beta 90.00
_cell_angle_gamma 90.00
loop_
_atom_site_label
_atom_site_type_symbol
_atom_site_fract_x
_atom_site_fract_y
_atom_site_fract_z
Ta1 Ta 0.0000 0.0000 0.0000
Zn1 Zn 0.0000 0.5000 0.5000
Zn2 Zn 0.5000 0.0000 0.5000
As1 As 0.5000 0.5000 0.0000
```

=====

CaTaTl2: relaxed, PBE-GGA.

Computed properties:
Space group: Pmmm

The structure in CIF format:
```
data_CaTaTl2
_symmetry_space_group_name_H-M 'P 1'
_symmetry_Int_Tables_number 1
_symmetry_space_group_name_Hall 'P 1'
_cell_length_a 3.2232
_cell_length_b 4.2288
_cell_length_c 6.9615
_cell_angle_alpha 90.00
_cell_angle_beta 90.00
_cell_angle_gamma 90.00
loop_
_atom_site_label
_atom_site_type_symbol
_atom_site_fract_x
_atom_site_fract_y
_atom_site_fract_z
Ca1 Ca 0.0000 0.0000 0.0000
Ta1 Ta 0.0000 0.0000 0.5000
Tl1 Tl 0.5000 0.5000 0.2723
Tl2 Tl 0.5000 0.5000 0.7277
```

=====

Sc2ReTc: relaxed, PBE-GGA.

Computed properties:
Space group: Pmm2

The structure in CIF format:
```
data_Sc2ReTc
_symmetry_space_group_name_H-M 'P 1'
_symmetry_Int_Tables_number 1
_symmetry_space_group_name_Hall 'P 1'
_cell_length_a 2.9654
_cell_length_b 4.3650
_cell_length_c 5.3972
_cell_angle_alpha 90.00
_cell_angle_beta 90.00
_cell_angle_gamma 90.00
loop_
_atom_site_label
_atom_site_type_symbol
_atom_site_fract_x
_atom_site_fract_y
_atom_site_fract_z
Sc1 Sc 0.0000 0.0000 0.0000
Sc2 Sc 0.5000 0.5000 0.2687
Re1 Re 0.5000 0.5000 0.7426
Tc1 Tc 0.0000 0.0000 0.5362
```

=====

Number 1: energy -4.6592 eV/atom. Number 2: energy -4.3750 eV/atom. Number 3: energy -8.7595 eV/atom.